Density functional theory data (GGA+U) for BaCrPO4 after structural relaxation.

The space group is F-43m (No. 216) and the conventional cell measures 8.305, 8.305 and 8.305 Å, with angles of 90.00, 90.00 and 90.00 degrees. The asymmetric unit holds Ba at (0.000, 0.000, 0.000), Cr at (0.250, 0.250, 0.750), P at (0.000, 0.000, 0.500) and O at (0.107, 0.107, 0.607).

The volume comes out at 20.46 A^3/atom. As for the total energy: -6.929 eV per atom.